Cs2PaPt2S4 | GGA-PBE | optimized geometry

Structure (POSCAR):
```
Cs2PaPt2S4
1.0
-1.630 -0.820 -3.515
7.605 -0.904 -3.316
-1.353 -6.367 4.344
S Pa Pt Cs
4 1 2 2
Direct
0.517 0.789 0.034 S
0.180 0.176 0.360 S
0.820 0.824 0.640 S
0.483 0.211 0.966 S
0.000 0.000 0.000 Pa
0.305 0.962 0.610 Pt
0.695 0.038 0.390 Pt
0.135 0.572 0.271 Cs
0.865 0.428 0.729 Cs
```

Properties
Spin magnetization in μB per atom: 0.000
Final energy in eV per atom: -5.48